Here is a geometry-optimized CaN2ClF structure from the Alexandria database. Energies are from PBE-GGA.

a b c (Å): 3.6546 3.6546 4.9719
angles (deg): 90.00 90.00 90.00
Each line ends with the local moment (μB).
Fractional positions:
N1 0.0000 0.5000 0.0000  0.25
N2 0.5000 0.0000 0.0000  0.25
Ca1 0.5000 0.5000 0.5000  0.00
F1 0.0000 0.0000 0.5000  0.00
Cl1 0.0000 0.0000 0.0000  0.05

Computed properties:
space-group type = P4/mmm
uncorrected formation energy = 47 kJ per mole of atoms
M_tot = 0.72 μB/f.u.
distance to the lowest polymorph of the same formula = 0.000 eV per formula unit